#w
Material: CdNi2Sn2
Method: DFT, GGA-PBE
State: relaxed

extended XYZ file:
```
10
Lattice="7.854 0.000 0.000 0.000 7.854 0.000 0.000 0.000 2.988" Properties=species:S:1:pos:R:3 pbc="T T T"
Cd 0.000 0.000 0.000
Cd 3.927 3.927 0.000
Ni 1.030 2.897 1.494
Ni 2.897 6.824 1.494
Ni 4.958 1.030 1.494
Ni 6.824 4.958 1.494
Sn 1.238 5.166 0.000
Sn 2.689 1.238 0.000
Sn 5.166 6.616 0.000
Sn 6.616 2.689 0.000
```

Density ... 8.42 g/cm³
SG ... P4/mbm, No. 127


#x
Material: CdNi2Sn2
Method: DFT, GGA-PBE
State: relaxed

extended XYZ file:
```
10
Lattice="7.059 0.000 0.000 0.000 7.059 0.000 0.000 0.000 3.617" Properties=species:S:1:pos:R:3 pbc="T T T"
Cd 0.000 0.000 0.000
Cd 3.530 3.530 0.000
Ni 0.933 2.596 0.000
Ni 2.596 6.126 0.000
Ni 4.463 0.933 0.000
Ni 6.126 4.463 0.000
Sn 1.143 4.673 1.808
Sn 2.386 1.143 1.808
Sn 4.673 5.916 1.808
Sn 5.916 2.386 1.808
```

Density ... 8.61 g/cm³
SG ... P4/mbm, No. 127


#y
Material: CdNi2Sn2
Method: DFT, GGA-PBE
State: relaxed

extended XYZ file:
```
5
Lattice="-1.736 1.736 8.423 1.736 -1.736 8.423 1.736 1.736 -8.423" Properties=species:S:1:pos:R:3 pbc="T T T"
Cd 0.000 0.000 0.000
Ni 1.736 0.000 4.212
Ni 0.000 1.736 4.212
Sn 0.000 0.000 6.183
Sn 0.000 0.000 10.664
```

Density ... 7.64 g/cm³
SG ... I4/mmm, No. 139


Preferred: #x; penalty for the next structure: 0.082 eV/atom.


#w
Material: CdNiSn3
Method: DFT, GGA-PBE
State: relaxed

extended XYZ file:
```
5
Lattice="5.036 0.000 0.000 0.000 5.036 0.000 0.000 0.000 5.036" Properties=species:S:1:pos:R:3 pbc="T T T"
Cd 0.000 0.000 0.000
Ni 2.518 2.518 2.518
Sn 0.000 2.518 2.518
Sn 2.518 0.000 2.518
Sn 2.518 2.518 0.000
```

Density ... 6.86 g/cm³
SG ... Pm-3m, No. 221


#x
Material: CdNiSn3
Method: DFT, GGA-PBE
State: relaxed

extended XYZ file:
```
10
Lattice="5.284 -4.190 0.000 5.284 4.190 0.000 -3.973 0.000 5.242" Properties=species:S:1:pos:R:3 pbc="T T T"
Cd -0.476 0.000 1.332
Cd 7.072 0.000 3.910
Ni 2.272 0.000 0.668
Ni 4.323 0.000 4.574
Sn -0.690 1.664 3.923
Sn -0.690 -1.664 3.923
Sn 1.958 0.000 3.503
Sn 4.637 0.000 1.739
Sn 7.285 1.664 1.319
Sn 7.285 -1.664 1.319
```

Density ... 7.54 g/cm³
SG ... C2/m, No. 12


Preferred: #x; penalty for the next structure: 0.113 eV/atom.


#w
Material: SrCdNi3
Method: DFT, GGA-PBE
State: relaxed

extended XYZ file:
```
5
Lattice="4.787 0.000 0.000 0.000 4.787 0.000 0.000 0.000 4.787" Properties=species:S:1:pos:R:3 pbc="T T T"
Sr 0.000 0.000 0.000
Cd 2.393 2.393 2.393
Ni 0.000 0.000 2.393
Ni 0.000 2.393 0.000
Ni 2.393 0.000 0.000
```

Density ... 5.69 g/cm³
SG ... Pm-3m, No. 221


#x
Material: SrCdNi3
Method: DFT, GGA-PBE
State: relaxed

extended XYZ file:
```
5
Lattice="4.792 0.000 0.000 0.000 4.792 0.000 0.000 0.000 4.792" Properties=species:S:1:pos:R:3 pbc="T T T"
Sr 0.000 0.000 0.000
Cd 2.396 2.396 2.396
Ni 0.000 2.396 2.396
Ni 2.396 0.000 2.396
Ni 2.396 2.396 0.000
```

Density ... 5.68 g/cm³
SG ... Pm-3m, No. 221


Preferred: #x; penalty for the next structure: 0.856 eV/atom.


#w
Material: Sr3CdNi
Method: DFT, GGA-PBE
State: relaxed

extended XYZ file:
```
5
Lattice="5.751 0.000 0.000 0.000 5.751 0.000 0.000 0.000 5.751" Properties=species:S:1:pos:R:3 pbc="T T T"
Sr 0.000 0.000 2.876
Sr 0.000 2.876 0.000
Sr 2.876 0.000 0.000
Cd 2.876 2.876 2.876
Ni 0.000 0.000 0.000
```

Density ... 3.79 g/cm³
SG ... Pm-3m, No. 221


#x
Material: Sr3CdNi
Method: DFT, GGA-PBE
State: relaxed

extended XYZ file:
```
10
Lattice="9.146 -2.106 0.000 9.146 2.106 0.000 -0.027 0.000 9.347" Properties=species:S:1:pos:R:3 pbc="T T T"
Sr 0.818 0.000 1.781
Sr 4.548 0.000 7.426
Sr 7.103 0.000 4.176
Sr 11.162 0.000 5.171
Sr 13.716 0.000 1.920
Sr 17.446 0.000 7.566
Cd 7.263 0.000 0.703
Cd 11.001 0.000 8.643
Ni 4.186 0.000 4.359
Ni 14.079 0.000 4.988
```

Density ... 4.00 g/cm³
SG ... C2/m, No. 12


Preferred: #x; penalty for the next structure: 0.097 eV/atom.


#w
Material: SrTlCd2Ni
Method: DFT, GGA-PBE
State: relaxed

extended XYZ file:
```
5
Lattice="5.099 0.000 0.000 0.000 5.099 0.000 0.000 0.000 5.422" Properties=species:S:1:pos:R:3 pbc="T T T"
Sr 0.000 0.000 0.000
Tl 2.549 2.549 0.000
Cd 0.000 2.549 2.711
Cd 2.549 0.000 2.711
Ni 0.000 0.000 2.711
```

Density ... 6.78 g/cm³
SG ... P4/mmm, No. 123


#x
Material: SrTlCd2Ni
Method: DFT, GGA-PBE
State: relaxed

extended XYZ file:
```
5
Lattice="5.098 0.000 0.000 0.000 5.098 0.000 0.000 0.000 5.055" Properties=species:S:1:pos:R:3 pbc="T T T"
Sr 0.000 0.000 0.000
Tl 2.549 2.549 0.000
Cd 0.000 2.549 2.528
Cd 2.549 0.000 2.528
Ni 2.549 2.549 2.528
```

Density ... 7.27 g/cm³
SG ... P4/mmm, No. 123


Preferred: #x; penalty for the next structure: 0.116 eV/atom.


#w
Material: Sr2TlCdNi
Method: DFT, GGA-PBE
State: relaxed

extended XYZ file:
```
5
Lattice="5.687 0.000 0.000 0.000 5.687 0.000 0.000 0.000 5.007" Properties=species:S:1:pos:R:3 pbc="T T T"
Sr 0.000 2.843 0.000
Sr 2.843 0.000 0.000
Tl 0.000 0.000 2.504
Cd 2.843 2.843 2.504
Ni 2.843 2.843 0.000
```

Density ... 5.65 g/cm³
SG ... P4/mmm, No. 123


#x
Material: Sr2TlCdNi
Method: DFT, GGA-PBE
State: relaxed

extended XYZ file:
```
5
Lattice="5.718 0.000 0.000 0.000 5.718 0.000 0.000 0.000 4.997" Properties=species:S:1:pos:R:3 pbc="T T T"
Sr 0.000 2.859 0.000
Sr 2.859 0.000 0.000
Tl 0.000 0.000 2.498
Cd 2.859 2.859 2.498
Ni 0.000 0.000 0.000
```

Density ... 5.60 g/cm³
SG ... P4/mmm, No. 123


Preferred: #x; penalty for the next structure: 0.028 eV/atom.